(1)
Density functional theory data (PBE) for a relaxed NiPtC3 crystal.

## Properties
The value obtained for the electronic total energy is -5.228 eV per atom. The excess energy over the best structure of this formula in the dataset is 373.9 meV per atom. Its energy of formation from the pure elements is 13.35 eV/f.u.

```
data_NiPtC3
_symmetry_space_group_name_H-M 'P m -3 m'
_symmetry_Int_Tables_number 221
_symmetry_space_group_name_Hall '-P 4 2 3'
_cell_length_a 3.9832
_cell_length_b 3.9832
_cell_length_c 3.9832
_cell_angle_alpha 90.00
_cell_angle_beta 90.00
_cell_angle_gamma 90.00
loop_
_atom_site_label
_atom_site_type_symbol
_atom_site_fract_x
_atom_site_fract_y
_atom_site_fract_z
_atom_site_occupancy
Ni1 Ni 0.0000 0.0000 0.0000 1
Pt1 Pt 0.5000 0.5000 0.5000 1
C1 C 0.0000 0.5000 0.5000 1
```

(2)
Density functional theory data (PBE) for a relaxed Ni2PtC crystal.

## Properties
The value obtained for the electronic total energy is -6.377 eV per atom. Its energy of formation from the pure elements is 1.32 eV/f.u.

```
data_Ni2PtC
_symmetry_space_group_name_H-M 'I -4 2 d'
_symmetry_Int_Tables_number 122
_symmetry_space_group_name_Hall 'I -4 2bw'
_cell_length_a 6.2229
_cell_length_b 6.2229
_cell_length_c 4.6115
_cell_angle_alpha 90.00
_cell_angle_beta 90.00
_cell_angle_gamma 90.00
loop_
_atom_site_label
_atom_site_type_symbol
_atom_site_fract_x
_atom_site_fract_y
_atom_site_fract_z
_atom_site_occupancy
Ni1 Ni 0.1517 0.2500 0.1250 1
Pt1 Pt 0.0000 0.0000 0.5000 1
C1 C 0.0000 0.0000 0.0000 1
```

(3)
Density functional theory data (PBE) for a relaxed NiPt2C crystal.

## Properties
The value obtained for the electronic total energy is -6.286 eV per atom. Its energy of formation from the pure elements is 1.94 eV/f.u.

```
data_NiPt2C
_symmetry_space_group_name_H-M 'I -4 2 d'
_symmetry_Int_Tables_number 122
_symmetry_space_group_name_Hall 'I -4 2bw'
_cell_length_a 6.4277
_cell_length_b 6.4277
_cell_length_c 5.0851
_cell_angle_alpha 90.00
_cell_angle_beta 90.00
_cell_angle_gamma 90.00
loop_
_atom_site_label
_atom_site_type_symbol
_atom_site_fract_x
_atom_site_fract_y
_atom_site_fract_z
_atom_site_occupancy
Ni1 Ni 0.0000 0.0000 0.0000 1
Pt1 Pt 0.1587 0.2500 0.6250 1
C1 C 0.0000 0.0000 0.5000 1
```

(4)
Density functional theory data (PBE) for a relaxed NiPt3C crystal.

## Properties
The value obtained for the electronic total energy is -6.133 eV per atom. The excess energy over the best structure of this formula in the dataset is 0.0 meV per atom. Its energy of formation from the pure elements is 2.46 eV/f.u.

```
data_NiPt3C
_symmetry_space_group_name_H-M 'P m -3 m'
_symmetry_Int_Tables_number 221
_symmetry_space_group_name_Hall '-P 4 2 3'
_cell_length_a 4.1263
_cell_length_b 4.1263
_cell_length_c 4.1263
_cell_angle_alpha 90.00
_cell_angle_beta 90.00
_cell_angle_gamma 90.00
loop_
_atom_site_label
_atom_site_type_symbol
_atom_site_fract_x
_atom_site_fract_y
_atom_site_fract_z
_atom_site_occupancy
Ni1 Ni 0.0000 0.0000 0.0000 1
Pt1 Pt 0.0000 0.5000 0.5000 1
C1 C 0.5000 0.5000 0.5000 1
```

(5)
Density functional theory data (PBE) for a relaxed NiPtC3 crystal.

## Properties
The value obtained for the electronic total energy is -5.602 eV per atom. The excess energy over the best structure of this formula in the dataset is 0.0 meV per atom. Its energy of formation from the pure elements is 11.48 eV/f.u.

```
data_NiPtC3
_symmetry_space_group_name_H-M 'P m -3 m'
_symmetry_Int_Tables_number 221
_symmetry_space_group_name_Hall '-P 4 2 3'
_cell_length_a 3.7531
_cell_length_b 3.7531
_cell_length_c 3.7531
_cell_angle_alpha 90.00
_cell_angle_beta 90.00
_cell_angle_gamma 90.00
loop_
_atom_site_label
_atom_site_type_symbol
_atom_site_fract_x
_atom_site_fract_y
_atom_site_fract_z
_atom_site_occupancy
Ni1 Ni 0.0000 0.0000 0.0000 1
Pt1 Pt 0.5000 0.5000 0.5000 1
C1 C 0.0000 0.0000 0.5000 1
```

(6)
Density functional theory data (PBE) for a relaxed Ni2PtRhC crystal.

## Properties
The value obtained for the electronic total energy is -6.640 eV per atom. Its energy of formation from the pure elements is 0.98 eV/f.u.

```
data_Ni2PtRhC
_symmetry_space_group_name_H-M 'P 4/m m m'
_symmetry_Int_Tables_number 123
_symmetry_space_group_name_Hall '-P 4 2'
_cell_length_a 3.8695
_cell_length_b 3.8695
_cell_length_c 3.9880
_cell_angle_alpha 90.00
_cell_angle_beta 90.00
_cell_angle_gamma 90.00
loop_
_atom_site_label
_atom_site_type_symbol
_atom_site_fract_x
_atom_site_fract_y
_atom_site_fract_z
_atom_site_occupancy
Ni1 Ni 0.0000 0.5000 0.0000 1
Pt1 Pt 0.0000 0.0000 0.5000 1
Rh1 Rh 0.5000 0.5000 0.5000 1
C1 C 0.5000 0.5000 0.0000 1
```

(7)
Density functional theory data (PBE) for a relaxed Zr2NiPtC crystal.

## Properties
The value obtained for the electronic total energy is -8.254 eV per atom. Its energy of formation from the pure elements is -3.13 eV/f.u.

```
data_Zr2NiPtC
_symmetry_space_group_name_H-M 'P 4/m m m'
_symmetry_Int_Tables_number 123
_symmetry_space_group_name_Hall '-P 4 2'
_cell_length_a 4.5691
_cell_length_b 4.5691
_cell_length_c 3.7335
_cell_angle_alpha 90.00
_cell_angle_beta 90.00
_cell_angle_gamma 90.00
loop_
_atom_site_label
_atom_site_type_symbol
_atom_site_fract_x
_atom_site_fract_y
_atom_site_fract_z
_atom_site_occupancy
Zr1 Zr 0.0000 0.5000 0.0000 1
Ni1 Ni 0.0000 0.0000 0.5000 1
Pt1 Pt 0.5000 0.5000 0.5000 1
C1 C 0.0000 0.0000 0.0000 1
```

(8)
Density functional theory data (PBE) for a relaxed PuNiC2 crystal.

## Properties
The value obtained for the electronic total energy is -9.717 eV per atom. Its energy of formation from the pure elements is -0.31 eV/f.u.

```
data_PuNiC2
_symmetry_space_group_name_H-M 'A m m 2'
_symmetry_Int_Tables_number 38
_cell_length_a 3.6471
_cell_length_b 4.5402
_cell_length_c 6.0287
_cell_angle_alpha 90.00
_cell_angle_beta 90.00
_cell_angle_gamma 90.00
loop_
_symmetry_equiv_pos_as_xyz
'x,y,z'
'-x,-y,z'
'-x,y,z'
'x,-y,z'
'x,y+1/2,z+1/2'
'-x,-y+1/2,z+1/2'
'-x,y+1/2,z+1/2'
'x,-y+1/2,z+1/2'
loop_
_atom_site_label
_atom_site_type_symbol
_atom_site_fract_x
_atom_site_fract_y
_atom_site_fract_z
_atom_site_occupancy
Pu1 Pu 0.0000 0.0000 0.0000 1
Ni1 Ni 0.5000 0.0000 0.3919 1
C1 C 0.5000 0.1531 0.6995 1
```

(9)
Density functional theory data (PBE) for a relaxed PuNiC crystal.

## Properties
The value obtained for the electronic total energy is -9.718 eV per atom. The excess energy over the best structure of this formula in the dataset is 0.0 meV per atom. Its energy of formation from the pure elements is 0.18 eV/f.u.

```
data_PuNiC
_symmetry_space_group_name_H-M 'P 3 m 1'
_symmetry_Int_Tables_number 156
_cell_length_a 3.5588
_cell_length_b 3.5588
_cell_length_c 3.6931
_cell_angle_alpha 90.00
_cell_angle_beta 90.00
_cell_angle_gamma 120.00
loop_
_symmetry_equiv_pos_as_xyz
'x,y,z'
'-y,x-y,z'
'-x+y,-x,z'
'-y,-x,z'
'-x+y,y,z'
'x,x-y,z'
loop_
_atom_site_label
_atom_site_type_symbol
_atom_site_fract_x
_atom_site_fract_y
_atom_site_fract_z
_atom_site_occupancy
Pu1 Pu 0.0000 0.0000 0.0000 1
Ni1 Ni 0.6667 0.3333 0.5001 1
C1 C 0.3333 0.6667 0.4961 1
```

(10)
Density functional theory data (PBE) for a relaxed PuNiC crystal.

## Properties
The value obtained for the electronic total energy is -9.513 eV per atom. The excess energy over the best structure of this formula in the dataset is 204.9 meV per atom. Its energy of formation from the pure elements is 0.80 eV/f.u.

```
data_PuNiC
_symmetry_space_group_name_H-M 'P 1 2/m 1'
_symmetry_Int_Tables_number 10
_cell_length_a 5.4265
_cell_length_b 3.3263
_cell_length_c 5.5367
_cell_angle_alpha 90.00
_cell_angle_beta 119.20
_cell_angle_gamma 90.00
loop_
_symmetry_equiv_pos_as_xyz
'x,y,z'
'-x,-y,-z'
'-x,y,-z'
'x,-y,z'
loop_
_atom_site_label
_atom_site_type_symbol
_atom_site_fract_x
_atom_site_fract_y
_atom_site_fract_z
_atom_site_occupancy
Pu1 Pu 0.1370 0.0000 0.2750 1
Ni1 Ni 0.3752 0.5000 0.7491 1
C1 C 0.2355 0.5000 0.9997 1
```

(11)
Density functional theory data (PBE) for a relaxed Pu2NiC crystal.

## Properties
The value obtained for the electronic total energy is -10.826 eV per atom. The excess energy over the best structure of this formula in the dataset is 0.0 meV per atom. Its energy of formation from the pure elements is 0.36 eV/f.u.

```
data_Pu2NiC
_symmetry_space_group_name_H-M 'R -3 m'
_symmetry_Int_Tables_number 166
_symmetry_space_group_name_Hall '-R 3 2"'
_cell_length_a 3.4988
_cell_length_b 3.4988
_cell_length_c 20.2286
_cell_angle_alpha 90.00
_cell_angle_beta 90.00
_cell_angle_gamma 120.00
loop_
_atom_site_label
_atom_site_type_symbol
_atom_site_fract_x
_atom_site_fract_y
_atom_site_fract_z
_atom_site_occupancy
Pu1 Pu 0.0000 0.0000 0.2374 1
Ni1 Ni 0.0000 0.0000 0.0000 1
C1 C 0.0000 0.0000 0.5000 1
```

(12)
Density functional theory data (PBE) for a relaxed PuNi2C crystal.

## Properties
The value obtained for the electronic total energy is -8.655 eV per atom. Its energy of formation from the pure elements is 0.50 eV/f.u.

```
data_PuNi2C
_symmetry_space_group_name_H-M 'C m c m'
_symmetry_Int_Tables_number 63
_symmetry_space_group_name_Hall '-C 2c 2'
_cell_length_a 2.8397
_cell_length_b 9.7573
_cell_length_c 7.5438
_cell_angle_alpha 90.00
_cell_angle_beta 90.00
_cell_angle_gamma 90.00
loop_
_atom_site_label
_atom_site_type_symbol
_atom_site_fract_x
_atom_site_fract_y
_atom_site_fract_z
_atom_site_occupancy
Pu1 Pu 0.0000 0.0693 0.2500 1
Ni1 Ni 0.0000 0.3359 0.0876 1
C1 C 0.0000 0.2196 0.7500 1
```